[1]
{"formula": "TlAgMoIr2", "functional": "GGA-PBE", "state": "optimized geometry", "lattice": [[-4.152, 2.249, -0.404], [-1.345, -3.082, -3.340], [-2.073, -3.154, 3.746]], "species": ["Tl", "Ir", "Ir", "Mo", "Ag"], "frac_coords": [[0.000, 0.000, 0.500], [0.000, 0.500, 0.000], [0.500, 0.000, 0.000], [0.000, 0.000, 0.000], [0.500, 0.500, 0.500]], "ef_ev_per_atom": 1.33, "spacegroup": "P4/mmm"}

=====

[2]
{"formula": "TlAg2MoIr", "functional": "GGA-PBE", "state": "optimized geometry", "lattice": [[5.219, 0.000, 0.000], [0.000, 4.699, 0.000], [0.000, 0.000, 5.219]], "species": ["Tl", "Ir", "Mo", "Ag", "Ag"], "frac_coords": [[0.500, 0.500, 0.500], [0.000, 0.000, 0.000], [0.000, 0.500, 0.000], [0.000, 0.000, 0.500], [0.500, 0.000, 0.000]], "ef_ev_per_atom": 1.00, "spacegroup": "P4/mmm"}

=====

[3]
{"formula": "Ag2MoIrW", "functional": "GGA-PBE", "state": "optimized geometry", "lattice": [[4.957, 0.000, 0.000], [0.000, 4.530, 0.000], [0.000, 0.000, 4.957]], "species": ["Mo", "Ir", "Ag", "Ag", "W"], "frac_coords": [[0.000, 0.500, 0.000], [0.500, 0.500, 0.500], [0.000, 0.000, 0.500], [0.500, 0.000, 0.000], [0.000, 0.000, 0.000]], "ef_ev_per_atom": 2.22, "spacegroup": "P4/mmm"}

=====

[4]
{"formula": "AgMoIr2W", "functional": "GGA-PBE", "state": "optimized geometry", "lattice": [[4.705, 0.000, 0.000], [0.000, 4.991, 0.000], [0.000, 0.000, 4.705]], "species": ["Mo", "Ir", "Ir", "Ag", "W"], "frac_coords": [[0.500, 0.500, 0.500], [0.000, 0.000, 0.500], [0.500, 0.000, 0.000], [0.000, 0.500, 0.000], [0.000, 0.000, 0.000]], "ef_ev_per_atom": 1.91, "spacegroup": "P4/mmm"}

=====

[5]
{"formula": "YAg2MoIr", "functional": "GGA-PBE", "state": "optimized geometry", "lattice": [[-1.241, 4.854, 1.197], [-4.460, -0.587, -2.243], [-2.026, -1.615, 4.452]], "species": ["Y", "Mo", "Ir", "Ag", "Ag"], "frac_coords": [[0.000, 0.500, 0.000], [0.500, 0.500, 0.500], [0.000, 0.000, 0.000], [0.000, 0.000, 0.500], [0.500, 0.000, 0.000]], "ef_ev_per_atom": 1.12, "spacegroup": "P4/mmm"}

=====

[6]
{"formula": "AgIrN3", "functional": "GGA-PBE", "state": "optimized geometry", "lattice": [[3.886, 0.000, 0.000], [0.000, 3.886, 0.000], [0.000, 0.000, 3.886]], "species": ["Ir", "Ag", "N", "N", "N"], "frac_coords": [[0.000, 0.000, 0.000], [0.500, 0.500, 0.500], [0.000, 0.500, 0.000], [0.000, 0.000, 0.500], [0.500, 0.000, 0.000]], "spacegroup": "Pm-3m", "raw_formation_energy_ev_per_atom": 1.557}

=====

[7]
{"formula": "Ag3IrN", "functional": "GGA-PBE", "state": "optimized geometry", "lattice": [[5.044, 0.000, 0.000], [0.000, 5.044, 0.000], [0.000, 0.000, 5.044]], "species": ["Ir", "Ag", "Ag", "Ag", "N"], "frac_coords": [[0.000, 0.000, 0.000], [0.000, 0.500, 0.000], [0.000, 0.000, 0.500], [0.500, 0.000, 0.000], [0.500, 0.500, 0.500]], "spacegroup": "Pm-3m", "de_polymorph_mev_per_atom": 1321, "raw_formation_energy_ev_per_atom": 2.397}

=====

[8]
{"formula": "Ag3IrN", "functional": "GGA-PBE", "state": "optimized geometry", "lattice": [[4.268, 0.000, 0.000], [0.000, 4.268, 0.000], [0.000, 0.000, 4.268]], "species": ["Ir", "Ag", "Ag", "Ag", "N"], "frac_coords": [[0.500, 0.500, 0.500], [0.000, 0.500, 0.000], [0.000, 0.000, 0.500], [0.500, 0.000, 0.000], [0.000, 0.000, 0.000]], "spacegroup": "Pm-3m", "de_polymorph_mev_per_atom": 0, "raw_formation_energy_ev_per_atom": 1.076}

=====

[9]
{"formula": "AgIr2N", "functional": "GGA-PBE", "state": "optimized geometry", "lattice": [[6.362, 0.000, 0.000], [0.000, 6.362, 0.000], [3.181, 3.181, 3.042]], "species": ["Ir", "Ir", "Ir", "Ir", "Ag", "Ag", "N", "N"], "frac_coords": [[0.496, 0.125, 0.250], [0.254, 0.625, 0.250], [0.375, 0.504, 0.750], [0.875, 0.746, 0.750], [0.000, 0.000, 0.000], [0.750, 0.250, 0.500], [0.500, 0.500, 0.000], [0.250, 0.750, 0.500]], "spacegroup": "I-42d", "raw_formation_energy_ev_per_atom": 0.590}

=====

[10]
{"formula": "Ag2Ir2N", "functional": "GGA-PBE", "state": "optimized geometry", "lattice": [[-5.048, -2.359, -0.399], [-0.276, -0.351, 5.568], [-2.133, 4.534, 0.180]], "species": ["Ir", "Ir", "Ir", "Ir", "Ag", "Ag", "Ag", "Ag", "N", "N"], "frac_coords": [[0.163, 0.663, 0.500], [0.663, 0.837, 0.500], [0.837, 0.337, 0.500], [0.337, 0.163, 0.500], [0.320, 0.820, 0.000], [0.820, 0.680, 0.000], [0.680, 0.180, 0.000], [0.180, 0.320, 0.000], [0.000, 0.000, 0.000], [0.500, 0.500, 0.000]], "spacegroup": "P4/mbm", "de_polymorph_mev_per_atom": 0, "raw_formation_energy_ev_per_atom": 1.474}

=====

[11]
{"formula": "AgIrN3", "functional": "GGA-PBE", "state": "optimized geometry", "lattice": [[3.950, 0.000, 0.000], [0.000, 3.950, 0.000], [0.000, 0.000, 3.950]], "species": ["Ir", "Ag", "N", "N", "N"], "frac_coords": [[0.500, 0.500, 0.500], [0.000, 0.000, 0.000], [0.000, 0.500, 0.000], [0.000, 0.000, 0.500], [0.500, 0.000, 0.000]], "spacegroup": "Pm-3m", "raw_formation_energy_ev_per_atom": 3.015}

=====

[12]
{"formula": "Ag2Ir2N", "functional": "GGA-PBE", "state": "optimized geometry", "lattice": [[3.489, 0.000, 0.000], [0.000, 3.489, 0.000], [1.745, 1.745, 7.363]], "species": ["Ir", "Ir", "Ag", "Ag", "N"], "frac_coords": [[0.750, 0.250, 0.500], [0.250, 0.750, 0.500], [0.409, 0.409, 0.182], [0.591, 0.591, 0.818], [0.000, 0.000, 0.000]], "spacegroup": "I4/mmm", "de_polymorph_mev_per_atom": 8, "raw_formation_energy_ev_per_atom": 1.482}

=====

[13]
{"formula": "AgIrN2", "functional": "GGA-PBE", "state": "optimized geometry", "lattice": [[-2.220, -1.093, 4.290], [-3.991, -1.581, -2.468], [-1.288, -5.671, 0.747]], "species": ["Ir", "Ir", "Ag", "Ag", "N", "N", "N", "N"], "frac_coords": [[0.000, 0.000, 0.000], [0.750, 0.250, 0.500], [0.500, 0.500, 0.000], [0.250, 0.750, 0.500], [0.694, 0.125, 0.250], [0.056, 0.625, 0.250], [0.375, 0.306, 0.750], [0.875, 0.944, 0.750]], "spacegroup": "I-42d", "de_polymorph_mev_per_atom": 76, "raw_formation_energy_ev_per_atom": 0.868}

=====

[14]
{"formula": "AgIrN2", "functional": "GGA-PBE", "state": "optimized geometry", "lattice": [[0.000, 2.793, 2.793], [2.793, 0.000, 2.793], [2.793, 2.793, 0.000]], "species": ["Ir", "Ag", "N", "N"], "frac_coords": [[0.500, 0.500, 0.500], [0.000, 0.000, 0.000], [0.250, 0.250, 0.250], [0.750, 0.750, 0.750]], "spacegroup": "Fm-3m", "de_polymorph_mev_per_atom": 976, "raw_formation_energy_ev_per_atom": 1.768}

=====

[15]
{"formula": "AgIr3N", "functional": "GGA-PBE", "state": "optimized geometry", "lattice": [[4.122, 0.000, 0.000], [0.000, 4.122, 0.000], [0.000, 0.000, 4.122]], "species": ["Ir", "Ir", "Ir", "Ag", "N"], "frac_coords": [[0.000, 0.500, 0.000], [0.000, 0.000, 0.500], [0.500, 0.000, 0.000], [0.500, 0.500, 0.500], [0.000, 0.000, 0.000]], "spacegroup": "Pm-3m", "de_polymorph_mev_per_atom": 0, "raw_formation_energy_ev_per_atom": 0.676}

=====

[16]
{"formula": "AgIr3N", "functional": "GGA-PBE", "state": "optimized geometry", "lattice": [[4.831, 0.000, 0.000], [0.000, 4.831, 0.000], [0.000, 0.000, 4.831]], "species": ["Ir", "Ir", "Ir", "Ag", "N"], "frac_coords": [[0.000, 0.500, 0.000], [0.000, 0.000, 0.500], [0.500, 0.000, 0.000], [0.000, 0.000, 0.000], [0.500, 0.500, 0.500]], "spacegroup": "Pm-3m", "de_polymorph_mev_per_atom": 3078, "raw_formation_energy_ev_per_atom": 3.754}

=====

[17]
{"formula": "AgIrN2", "functional": "GGA-PBE", "state": "optimized geometry", "lattice": [[-4.745, 4.446, -0.317], [-3.080, 5.309, 2.170], [-2.139, 6.110, -0.689]], "species": ["Ir", "Ag", "N", "N"], "frac_coords": [[0.500, 0.500, 0.500], [0.000, 0.000, 0.000], [0.887, 0.887, 0.887], [0.113, 0.113, 0.113]], "spacegroup": "R-3m", "de_polymorph_mev_per_atom": 0, "raw_formation_energy_ev_per_atom": 0.792}

=====

[18]
{"formula": "Na2AgIrN", "functional": "GGA-PBE", "state": "optimized geometry", "lattice": [[-4.301, 0.922, -2.351], [-2.524, -1.658, 3.969], [-0.036, 3.444, 1.416]], "species": ["Na", "Na", "Ir", "Ag", "N"], "frac_coords": [[0.000, 0.500, 0.000], [0.500, 0.000, 0.000], [0.000, 0.000, 0.500], [0.500, 0.500, 0.500], [0.000, 0.000, 0.000]], "spacegroup": "P4/mmm", "raw_formation_energy_ev_per_atom": 0.038}

=====

[19]
{"formula": "AgIrN2O", "functional": "GGA-PBE", "state": "optimized geometry", "lattice": [[3.766, 0.000, 0.000], [0.000, 3.766, 0.000], [0.000, 0.000, 4.453]], "species": ["Ir", "O", "Ag", "N", "N"], "frac_coords": [[0.000, 0.000, 0.000], [0.000, 0.000, 0.500], [0.500, 0.500, 0.500], [0.000, 0.500, 0.000], [0.500, 0.000, 0.000]], "spacegroup": "P4/mmm", "raw_formation_energy_ev_per_atom": 0.859}

=====

[20]
{"formula": "AgIrN2O", "functional": "GGA-PBE", "state": "optimized geometry", "lattice": [[-0.652, -3.846, -0.978], [1.750, -1.168, 3.427], [-3.469, 0.126, 1.814]], "species": ["Ir", "O", "Ag", "N", "N"], "frac_coords": [[0.500, 0.500, 0.500], [0.000, 0.000, 0.500], [0.000, 0.000, 0.000], [0.000, 0.500, 0.000], [0.500, 0.000, 0.000]], "spacegroup": "P4/mmm", "raw_formation_energy_ev_per_atom": 2.441}

=====

[21]
{"formula": "Ag2IrNO", "functional": "GGA-PBE", "state": "optimized geometry", "lattice": [[-0.466, -3.614, -3.188], [0.853, -2.442, 2.643], [-4.688, -0.402, 1.141]], "species": ["Ir", "O", "Ag", "Ag", "N"], "frac_coords": [[0.000, 0.500, 0.000], [0.000, 0.000, 0.000], [0.000, 0.000, 0.500], [0.500, 0.000, 0.000], [0.500, 0.500, 0.500]], "spacegroup": "P4/mmm", "raw_formation_energy_ev_per_atom": 1.295}

=====

[22]
{"formula": "AgIrNO2", "functional": "GGA-PBE", "state": "optimized geometry", "lattice": [[-1.245, -3.629, 1.164], [3.065, -0.226, 2.574], [-2.286, 1.705, 2.871]], "species": ["Ir", "O", "O", "Ag", "N"], "frac_coords": [[0.500, 0.500, 0.500], [0.000, 0.500, 0.000], [0.500, 0.000, 0.000], [0.000, 0.000, 0.000], [0.000, 0.000, 0.500]], "spacegroup": "P4/mmm", "raw_formation_energy_ev_per_atom": 1.840}

=====

[23]
{"formula": "AgIrNO2", "functional": "GGA-PBE", "state": "optimized geometry", "lattice": [[4.015, 0.000, 0.000], [0.000, 4.015, 0.000], [0.000, 0.000, 3.762]], "species": ["Ir", "O", "O", "Ag", "N"], "frac_coords": [[0.000, 0.000, 0.000], [0.000, 0.500, 0.000], [0.500, 0.000, 0.000], [0.500, 0.500, 0.500], [0.000, 0.000, 0.500]], "spacegroup": "P4/mmm", "raw_formation_energy_ev_per_atom": 0.336}

=====

[24]
{"formula": "Rb2AgIrN", "functional": "GGA-PBE", "state": "optimized geometry", "lattice": [[-4.921, 2.991, -2.761], [-1.171, -3.212, -1.391], [-3.530, -0.979, 5.231]], "species": ["Ir", "Rb", "Rb", "Ag", "N"], "frac_coords": [[0.000, 0.500, 0.000], [0.000, 0.000, 0.500], [0.500, 0.000, 0.000], [0.500, 0.500, 0.500], [0.000, 0.000, 0.000]], "spacegroup": "P4/mmm", "raw_formation_energy_ev_per_atom": 0.113}

=====

[25]
{"formula": "ReAgIrN2", "functional": "GGA-PBE", "state": "optimized geometry", "lattice": [[-2.857, -1.405, -2.147], [3.430, -1.626, -3.500], [0.276, -3.363, 1.833]], "species": ["Re", "Ir", "Ag", "N", "N"], "frac_coords": [[0.500, 0.500, 0.500], [0.000, 0.500, 0.000], [0.000, 0.000, 0.000], [0.000, 0.000, 0.500], [0.500, 0.000, 0.000]], "spacegroup": "P4/mmm", "raw_formation_energy_ev_per_atom": 2.847}

=====

[26]
{"formula": "AgSbIr2N", "functional": "GGA-PBE", "state": "optimized geometry", "lattice": [[-2.698, 4.004, -0.933], [-2.540, -2.530, -3.512], [-3.273, -1.416, 3.387]], "species": ["Sb", "Ir", "Ir", "Ag", "N"], "frac_coords": [[0.000, 0.500, 0.000], [0.000, 0.000, 0.500], [0.500, 0.000, 0.000], [0.000, 0.000, 0.000], [0.500, 0.500, 0.500]], "spacegroup": "P4/mmm", "raw_formation_energy_ev_per_atom": 3.025}

=====

[27]
{"formula": "AgIrSeN2", "functional": "GGA-PBE", "state": "optimized geometry", "lattice": [[3.789, 0.000, 0.000], [0.000, 3.789, 0.000], [0.000, 0.000, 5.679]], "species": ["Ir", "Se", "Ag", "N", "N"], "frac_coords": [[0.000, 0.000, 0.000], [0.000, 0.000, 0.500], [0.500, 0.500, 0.500], [0.000, 0.500, 0.000], [0.500, 0.000, 0.000]], "spacegroup": "P4/mmm", "de_polymorph_mev_per_atom": 0, "raw_formation_energy_ev_per_atom": 0.755}

=====

[28]
{"formula": "AgIrSe2N", "functional": "GGA-PBE", "state": "optimized geometry", "lattice": [[-0.107, -1.806, -4.889], [1.725, -4.627, 1.672], [-3.429, -1.104, 0.483]], "species": ["Ir", "Se", "Se", "Ag", "N"], "frac_coords": [[0.000, 0.000, 0.000], [0.000, 0.500, 0.000], [0.500, 0.000, 0.000], [0.500, 0.500, 0.500], [0.000, 0.000, 0.500]], "spacegroup": "P4/mmm", "de_polymorph_mev_per_atom": 0, "raw_formation_energy_ev_per_atom": 0.441}

=====

Record-wise energy values, in eV/atom: -5.428 -4.549 -5.445 -6.962 -5.256 -5.781 -2.751 -4.072 -6.635 -4.876 -4.323 -4.868 -6.223 -5.323 -6.876 -3.798 -6.299 -4.497 -5.805 -4.223 -4.275 -4.151 -5.655 -4.281 -5.316 -3.579 -5.615 -4.960